Record 1
# Zr3WN6

Zr3WN6 after structural relaxation (PBE-GGA, Alexandria via LeMat-Bulk).

CIF file:
```
data_Zr3WN6
_chemical_formula_sum 'Zr6 W2 N12'
_space_group_name_H-M_alt 'P 1'
_space_group_IT_number 1
_cell_length_a 5.360
_cell_length_b 7.008
_cell_length_c 7.008
_cell_angle_alpha 103.60
_cell_angle_beta 90.00
_cell_angle_gamma 90.00
loop_
_space_group_symop_operation_xyz
'x,y,z'
loop_
_atom_site_label
_atom_site_fract_x
_atom_site_fract_y
_atom_site_fract_z
N1 0.683 0.894 0.434
N2 0.147 0.042 0.958
N3 0.156 0.787 0.213
Zr1 0.984 0.710 0.901
Zr2 0.927 0.595 0.405
N4 0.183 0.434 0.894
Zr3 0.484 0.290 0.099
N5 0.683 0.566 0.106
N6 0.205 0.358 0.319
Zr4 0.427 0.405 0.595
W1 0.011 0.201 0.799
N7 0.705 0.319 0.358
N8 0.647 0.958 0.042
W2 0.511 0.799 0.201
N9 0.183 0.106 0.566
N10 0.205 0.681 0.642
N11 0.656 0.213 0.787
N12 0.705 0.642 0.681
Zr5 0.984 0.099 0.290
Zr6 0.484 0.901 0.710
```

Computed properties:
For the uncorrected formation energy, the calculation gives -1137 meV per atom. The total magnetization is 0.000 μB per atom. The value obtained for the total energy is -9.992 eV per atom.


Record 2
# Zr2WN

Zr2WN after structural relaxation (PBE-GGA, Alexandria via LeMat-Bulk).

CIF file:
```
data_Zr2WN
_chemical_formula_sum 'Zr4 W2 N2'
_space_group_name_H-M_alt 'P 1'
_space_group_IT_number 1
_cell_length_a 6.366
_cell_length_b 6.366
_cell_length_c 5.821
_cell_angle_alpha 56.85
_cell_angle_beta 56.85
_cell_angle_gamma 90.00
loop_
_space_group_symop_operation_xyz
'x,y,z'
loop_
_atom_site_label
_atom_site_fract_x
_atom_site_fract_y
_atom_site_fract_z
Zr1 0.875 0.787 0.750
W1 0.750 0.250 0.500
Zr2 0.375 0.463 0.750
N1 0.500 0.500 0.000
W2 0.000 0.000 0.000
Zr3 0.537 0.125 0.250
N2 0.250 0.750 0.500
Zr4 0.213 0.625 0.250
```

Computed properties:
For the uncorrected formation energy, the calculation gives 100 meV per atom. The total magnetization is 0.000 μB per atom. The value obtained for the total energy is -9.494 eV per atom.


Record 3
# Zr2WN

Zr2WN after structural relaxation (PBE-GGA, Alexandria via LeMat-Bulk).

CIF file:
```
data_Zr2WN
_chemical_formula_sum 'Zr2 W1 N1'
_space_group_name_H-M_alt 'P 1'
_space_group_IT_number 1
_cell_length_a 3.096
_cell_length_b 3.096
_cell_length_c 8.350
_cell_angle_alpha 79.32
_cell_angle_beta 79.32
_cell_angle_gamma 60.00
loop_
_space_group_symop_operation_xyz
'x,y,z'
loop_
_atom_site_label
_atom_site_fract_x
_atom_site_fract_y
_atom_site_fract_z
Zr1 0.889 0.889 0.334
Zr2 0.111 0.111 0.666
W1 0.000 0.000 0.000
N1 0.500 0.500 0.500
```

Computed properties:
For the uncorrected formation energy, the calculation gives -279 meV per atom. The total magnetization is 0.000 μB per atom. The value obtained for the total energy is -9.872 eV per atom.